A relaxed SrLa2 crystal, computed with GGA-PBEsol.

Summary:
Energy above the most stable polymorph in this dataset = 59 meV/atom
DOS(E_F) = 4.8 states/eV/f.u.
Energy = -0.148 hartree per atom
Spin magnetization = 0.000 μB/atom
ΔE_f = 0.14 eV per atom

a b c (Å): 6.834 6.834 6.834
angles (deg): 148.70 135.80 55.15
Fractional coordinates of all 3 atoms:
Sr (0.000, 0.000, 0.000)
La (0.309, 0.309, 0.000)
La (0.691, 0.691, 0.000)